# 1
Ta4SnSe8 after structural relaxation. Source: the Alexandria database, functional PBE.

- Mass density: 7.415 g/cm³
- ΔE_f (raw): -0.650 eV per atom
- D(E_F): 8.88 states/eV per cell
- Distance to the lowest polymorph of the same formula: 16 meV per atom

a b c (Å): 6.9664 6.9664 8.8252
angles (deg): 90.00 113.25 120.00
Sites, in units of the cell vectors:
Se (0.5251, 0.2626, 0.7876)
Ta (0.0000, 0.5000, 0.0000)
Se (0.5221, 0.7611, 0.7849)
Se (0.0238, 0.7611, 0.7849)
Ta (0.5000, 0.5000, 0.0000)
Se (0.0238, 0.2627, 0.7849)
Se (0.4749, 0.7374, 0.2124)
Se (0.4779, 0.2389, 0.2151)
Se (0.9762, 0.2389, 0.2151)
Ta (0.5000, 0.0000, 0.0000)
Sn (0.0000, 0.5000, 0.5000)
Ta (0.0000, 0.0000, 0.0000)
Se (0.9762, 0.7373, 0.2151)


# 2
LiMgBe2Ag after structural relaxation. Source: the Alexandria database, functional PBE.

- Mass density: 2.468 g/cm³
- D(E_F): 1.95 states/eV per cell
- E_form: 1001 meV per atom

a b c (Å): 4.6240 4.6240 4.9440
angles (deg): 90.00 90.00 90.00
Sites, in units of the cell vectors:
Li (0.5000, 0.5000, 0.5000)
Ag (0.0000, 0.0000, 0.5000)
Be (0.5000, 0.0000, 0.0000)
Be (0.0000, 0.5000, 0.0000)
Mg (0.0000, 0.0000, 0.0000)


# 3
Sr2MgAs4Ir3 after structural relaxation. Source: the Alexandria database, functional PBE.

- Mass density: 8.888 g/cm³
- D(E_F): 6.85 states/eV per cell
- E_form: -611 meV per atom

a b c (Å): 4.3939 4.3939 10.4117
angles (deg): 90.00 90.00 90.00
Sites, in units of the cell vectors:
As (0.5000, 0.0000, 0.6453)
As (0.0000, 0.5000, 0.3547)
As (0.5000, 0.5000, 0.0000)
As (0.0000, 0.0000, 0.0000)
Sr (0.5000, 0.0000, 0.2417)
Sr (0.0000, 0.5000, 0.7583)
Ir (0.0000, 0.0000, 0.5000)
Ir (0.5000, 0.0000, 0.8878)
Mg (0.5000, 0.5000, 0.5000)
Ir (0.0000, 0.5000, 0.1122)


# 4
Ti2Si2Ge after structural relaxation. Source: the Alexandria database, functional PBE.

- Mass density: 4.819 g/cm³
- ΔE_f (raw): -0.350 eV per atom
- D(E_F): 11.39 states/eV per cell
- Distance to the lowest polymorph of the same formula: 53 meV per atom

a b c (Å): 6.5989 6.5989 3.5538
angles (deg): 90.00 90.00 90.00
Sites, in units of the cell vectors:
Ge (0.5000, 0.5000, 0.0000)
Ti (0.3258, 0.1742, 0.5000)
Si (0.3744, 0.8744, 0.0000)
Si (0.1256, 0.3744, 0.0000)
Si (0.8744, 0.6256, 0.0000)
Ti (0.8258, 0.3258, 0.5000)
Ge (0.0000, 0.0000, 0.0000)
Ti (0.1742, 0.6742, 0.5000)
Si (0.6256, 0.1256, 0.0000)
Ti (0.6742, 0.8258, 0.5000)


# 5
Cs3Li2PbCl9 after structural relaxation. Source: the Alexandria database, functional PBE.

- Mass density: 3.278 g/cm³
- ΔE_f (raw): -1.532 eV per atom

a b c (Å): 7.5765 7.5765 9.5666
angles (deg): 90.00 90.00 120.00
Sites, in units of the cell vectors:
Cs (0.6667, 0.3333, 0.3184)
Cl (0.3207, 0.1603, 0.6550)
Cl (0.5000, 0.0000, 0.0000)
Cl (0.6793, 0.8397, 0.3450)
Pb (0.0000, 0.0000, 0.5000)
Cl (0.1603, 0.3207, 0.3450)
Cs (0.3333, 0.6667, 0.6816)
Cl (0.0000, 0.5000, 0.0000)
Cs (0.0000, 0.0000, 0.0000)
Li (0.3333, 0.6667, 0.0780)
Cl (0.5000, 0.5000, 0.0000)
Cl (0.8397, 0.1603, 0.6550)
Cl (0.8397, 0.6793, 0.6550)
Cl (0.1603, 0.8397, 0.3450)
Li (0.6667, 0.3333, 0.9220)


Q: Which of these has the highest mass density?
A: Sr2MgAs4Ir3


Please write out number 4 again, unchanged.
Ti2Si2Ge after structural relaxation. Source: the Alexandria database, functional PBE.

- Mass density: 4.819 g/cm³
- ΔE_f (raw): -0.350 eV per atom
- D(E_F): 11.39 states/eV per cell
- Distance to the lowest polymorph of the same formula: 53 meV per atom

a b c (Å): 6.5989 6.5989 3.5538
angles (deg): 90.00 90.00 90.00
Sites, in units of the cell vectors:
Ge (0.5000, 0.5000, 0.0000)
Ti (0.3258, 0.1742, 0.5000)
Si (0.3744, 0.8744, 0.0000)
Si (0.1256, 0.3744, 0.0000)
Si (0.8744, 0.6256, 0.0000)
Ti (0.8258, 0.3258, 0.5000)
Ge (0.0000, 0.0000, 0.0000)
Ti (0.1742, 0.6742, 0.5000)
Si (0.6256, 0.1256, 0.0000)
Ti (0.6742, 0.8258, 0.5000)


Repeat the fifth record exactly.
Cs3Li2PbCl9 after structural relaxation. Source: the Alexandria database, functional PBE.

- Mass density: 3.278 g/cm³
- ΔE_f (raw): -1.532 eV per atom

a b c (Å): 7.5765 7.5765 9.5666
angles (deg): 90.00 90.00 120.00
Sites, in units of the cell vectors:
Cs (0.6667, 0.3333, 0.3184)
Cl (0.3207, 0.1603, 0.6550)
Cl (0.5000, 0.0000, 0.0000)
Cl (0.6793, 0.8397, 0.3450)
Pb (0.0000, 0.0000, 0.5000)
Cl (0.1603, 0.3207, 0.3450)
Cs (0.3333, 0.6667, 0.6816)
Cl (0.0000, 0.5000, 0.0000)
Cs (0.0000, 0.0000, 0.0000)
Li (0.3333, 0.6667, 0.0780)
Cl (0.5000, 0.5000, 0.0000)
Cl (0.8397, 0.1603, 0.6550)
Cl (0.8397, 0.6793, 0.6550)
Cl (0.1603, 0.8397, 0.3450)
Li (0.6667, 0.3333, 0.9220)